Here is an optimized crystal structure of Cs2ZrMo3O12 from the Alexandria database. Energies are from PBE with a Hubbard U.

```
Cs2ZrMo3O12
1.0
3.719 2.147 6.204
-3.719 2.147 6.204
0.000 -4.294 6.204
Cs Zr Mo O
2 1 3 12
Direct
0.125 0.125 0.125
0.875 0.875 0.875
0.500 0.500 0.500
0.000 0.500 0.500
0.500 0.000 0.500
0.500 0.500 0.000
0.169 0.564 0.564
0.194 0.194 0.561
0.194 0.561 0.194
0.436 0.436 0.831
0.436 0.831 0.436
0.439 0.806 0.806
0.561 0.194 0.194
0.564 0.169 0.564
0.564 0.564 0.169
0.806 0.439 0.806
0.806 0.806 0.439
0.831 0.436 0.436
```

Properties
Electronic total energy: -7.042 eV/atom
Space group: R-3m
Total moment: 0.000 μB/atom
Volume: 297 Å³/cell